one.
Entry from Alexandria: crystalline Ta5NbMo at its relaxed geometry (GGA-PBE).

## Properties
SG = P4/mmm (123)

Structure (extended XYZ):
```
7
Lattice="-1.425 -1.721 -3.966 1.084 -4.184 1.427 -5.983 -0.712 2.459" Properties=species:S:1:pos:R:3 pbc="T T T"
Ta -5.129 -1.386 -0.167
Ta -3.875 -2.618 2.529
Ta -0.170 -2.953 -1.269
Ta -1.024 -2.279 1.357
Ta -2.279 -1.047 -1.339
Nb 0.000 0.000 0.000
Mo -2.992 -0.356 1.230
```



two.
Entry from Alexandria: crystalline Ta5NbMo at its relaxed geometry (GGA-PBE).

## Properties
SG = Imma (74)

Structure (extended XYZ):
```
14
Lattice="-6.111 -1.978 3.881 -4.563 -3.324 -4.944 -0.137 -5.289 0.782" Properties=species:S:1:pos:R:3 pbc="T T T"
Ta -1.429 -2.642 0.176
Ta -5.053 -6.955 -2.151
Ta -6.827 -7.944 -0.010
Ta -7.781 -5.524 -2.078
Ta -5.827 -6.281 2.261
Ta -4.985 -4.310 -2.542
Ta -3.030 -5.067 1.797
Ta -3.985 -2.647 -0.271
Ta -5.758 -3.636 1.870
Ta -9.383 -7.949 -0.457
Nb -8.296 -5.076 0.860
Nb -2.515 -5.515 -1.141
Mo 0.000 0.000 0.000
Mo -5.406 -5.295 -0.141
```



How do the energies compare? Relative to the most stable structure, in meV per atom: one 236; two 0.



one.
Entry from Alexandria: crystalline Ta5Nb2Mo4 at its relaxed geometry (GGA-PBE).

## Properties
SG = C2/m (12)

Structure (extended XYZ):
```
11
Lattice="2.698 0.000 0.000 0.000 8.108 -0.099 -1.349 -2.034 9.455" Properties=species:S:1:pos:R:3 pbc="T T T"
Ta 0.000 6.403 3.468
Ta 1.349 -0.329 5.887
Ta 0.000 1.095 3.524
Ta 1.349 0.000 0.000
Ta 1.349 4.979 5.832
Nb 0.000 5.080 1.046
Nb 1.349 0.995 8.309
Mo 1.349 3.715 3.432
Mo 1.349 3.827 8.109
Mo 0.000 2.359 5.923
Mo 0.000 2.247 1.246
```



two.
Entry from Alexandria: crystalline Ta5Nb2Mo4 at its relaxed geometry (GGA-PBE).

## Properties
SG = C2/m (12)

Structure (extended XYZ):
```
11
Lattice="3.057 0.000 -0.497 -0.100 6.010 -0.616 0.232 0.982 11.076" Properties=species:S:1:pos:R:3 pbc="T T T"
Ta 0.677 1.026 4.161
Ta 2.513 5.966 5.801
Ta 0.693 4.341 4.262
Ta 1.529 0.000 -0.249
Ta 2.496 2.651 5.700
Nb 2.942 2.197 8.441
Nb 0.248 4.794 1.522
Mo 1.964 2.692 2.425
Mo 0.101 2.107 0.620
Mo 1.226 4.300 7.537
Mo 3.089 4.885 9.343
```



How do the energies compare? Relative to the most stable structure, in meV per atom: one 92; two 0.



one.
Entry from Alexandria: crystalline Ta2Nb6Mo at its relaxed geometry (GGA-PBE).

## Properties
SG = C2/m (12)

Structure (extended XYZ):
```
9
Lattice="2.718 0.000 0.000 1.359 7.445 0.143 1.359 1.450 8.219" Properties=species:S:1:pos:R:3 pbc="T T T"
Ta 1.359 0.546 2.690
Ta 4.077 8.349 5.672
Nb 2.718 2.664 0.946
Nb 2.718 6.231 7.416
Nb 2.718 5.787 4.678
Nb 1.359 5.330 1.962
Nb 4.077 3.565 6.400
Nb 2.718 3.108 3.684
Mo 0.000 0.000 0.000
```



two.
Entry from Alexandria: crystalline Ta2Nb6Mo at its relaxed geometry (GGA-PBE).

## Properties
SG = P-1 (2)

Structure (extended XYZ):
```
9
Lattice="2.793 0.357 -0.466 0.867 7.318 -0.734 -1.296 -1.191 8.301" Properties=species:S:1:pos:R:3 pbc="T T T"
Ta 1.845 4.581 2.900
Ta 0.520 1.903 4.202
Nb 0.914 2.264 1.434
Nb -0.846 -0.789 5.564
Nb 1.451 4.219 5.667
Nb 0.079 1.480 6.988
Nb 3.211 7.273 1.537
Nb 2.286 5.004 0.113
Mo 0.000 0.000 0.000
```



How do the energies compare? Relative to the most stable structure, in meV per atom: one 243; two 0.